Crystalline SmGdS2 at its relaxed geometry. Source: OQMD, functional PBE.

a = 3.976 Å, b = 3.976 Å, c = 5.625 Å
α = 90.00°, β = 90.00°, γ = 90.00°
Sites, in units of the cell vectors:
Sm 0.000 0.000 0.000
Gd 0.500 0.500 0.500
S 0.000 0.000 0.500
S 0.500 0.500 0.000

Output
**Symmetry**: P4/mmm (123)
**Mass density**: 6.94 g/cm³
**DFT total energy**: -6.428 eV per atom



Crystalline SrLiBiPd at its relaxed geometry. Source: OQMD, functional PBE.

a = 5.105 Å, b = 5.105 Å, c = 5.105 Å
α = 60.00°, β = 60.00°, γ = 60.00°
Sites, in units of the cell vectors:
Sr 0.000 0.000 0.000
Li 0.250 0.250 0.250
Bi 0.750 0.750 0.750
Pd 0.500 0.500 0.500

Output
**Offset from the most stable computed form**: 0.54 eV per formula unit
**Symmetry**: F-43m (216)
**Mass density**: 7.24 g/cm³



Crystalline HfZrPa at its relaxed geometry. Source: OQMD, functional PBE.

a = 4.880 Å, b = 4.880 Å, c = 4.880 Å
α = 60.00°, β = 60.00°, γ = 60.00°
Sites, in units of the cell vectors:
Hf 0.000 0.000 0.000
Zr 0.500 0.500 0.500
Pa 0.250 0.250 0.250

Output
**Offset from the most stable computed form**: 1.03 eV per formula unit
**Energy of formation**: 1.120 eV per atom
**Symmetry**: F-43m (216)
**Mass density**: 10.12 g/cm³



Crystalline KEr at its relaxed geometry. Source: OQMD, functional PBE.

a = 6.138 Å, b = 6.138 Å, c = 6.138 Å
α = 60.00°, β = 60.00°, γ = 60.00°
Sites, in units of the cell vectors:
K 0.000 0.000 0.000
Er 0.250 0.250 0.250

Output
**Symmetry**: F-43m (216)
**Mass density**: 2.10 g/cm³
**DFT total energy**: -1.001 eV per atom